# GGA-PBE NdSc2Zn, relaxed
# Fermi-level density of states (states/eV/f.u.): 4.6
# Energy relative to the elements (eV per atom): -0.15
data_NdSc2Zn
_chemical_formula_sum 'Nd1 Sc2 Zn1'
_cell_length_a 3.385
_cell_length_b 3.385
_cell_length_c 8.426
_cell_angle_alpha 90.00
_cell_angle_beta 90.00
_cell_angle_gamma 90.00
_symmetry_space_group_name_H-M 'P 4/m m m'
_symmetry_Int_Tables_number 123
_symmetry_space_group_name_Hall '-P 4 2'
loop_
_atom_site_label
_atom_site_fract_x
_atom_site_fract_y
_atom_site_fract_z
Nd1 0.000 0.000 0.000
Sc1 0.500 0.500 0.304
Zn1 0.000 0.000 0.500